# DySi2IrOs

A geometry-optimized DySi2IrOs structure (PBE-GGA, the Open Quantum Materials Database).

Cell: 4.141 4.141 9.744 Å, 90.00 90.00 90.00°
Space group I-4m2 (No. 119)
Asymmetric unit:
1 Dy 0.000 0.000 0.000 [2 per cell]
2 Si 0.000 0.000 0.375 [4 per cell]
3 Ir 0.000 0.500 0.250 [2 per cell]
4 Os 0.000 0.500 0.750 [2 per cell]

Computed properties:
Uncorrected energy: -8.04 eV/atom
Crystal system: tetragonal

=====

# Sc2NiSb2Pt

A geometry-optimized Sc2NiSb2Pt structure (PBE-GGA, the Open Quantum Materials Database).

Cell: 7.675 4.422 14.670 Å, 90.00 99.86 90.00°
Space group Pm (No. 6)
Asymmetric unit:
1 Sc 0.000 0.000 0.000 [1 per cell]
2 Sc 0.001 0.500 0.493 [1 per cell]
3 Sc 0.242 0.000 0.741 [1 per cell]
4 Sc 0.246 0.500 0.244 [1 per cell]
5 Sc 0.490 0.000 0.490 [1 per cell]
6 Sc 0.498 0.500 0.000 [1 per cell]
7 Sc 0.746 0.000 0.241 [1 per cell]
8 Sc 0.752 0.500 0.742 [1 per cell]
9 Ni 0.060 0.500 0.679 [1 per cell]
10 Ni 0.061 0.000 0.184 [1 per cell]
11 Ni 0.307 0.500 0.429 [1 per cell]
12 Ni 0.559 0.500 0.183 [1 per cell]
13 Sb 0.121 0.500 0.864 [1 per cell]
14 Sb 0.129 0.000 0.366 [1 per cell]
15 Sb 0.361 0.500 0.613 [1 per cell]
16 Sb 0.374 0.000 0.126 [1 per cell]
17 Sb 0.611 0.500 0.365 [1 per cell]
18 Sb 0.622 0.000 0.869 [1 per cell]
19 Sb 0.875 0.500 0.126 [1 per cell]
20 Sb 0.882 0.000 0.620 [1 per cell]
21 Pt 0.310 0.000 0.933 [1 per cell]
22 Pt 0.559 0.000 0.679 [1 per cell]
23 Pt 0.809 0.000 0.430 [1 per cell]
24 Pt 0.811 0.500 0.934 [1 per cell]

Computed properties:
Uncorrected energy: -6.45 eV/atom
Crystal system: monoclinic

=====

# Tm2BiO4

A geometry-optimized Tm2BiO4 structure (PBE-GGA, the Open Quantum Materials Database).

Cell: 9.666 9.666 9.666 Å, 90.00 90.00 90.00°
Space group Fd-3m (No. 227, origin choice 2)
Asymmetric unit:
1 Tm 0.000 0.000 0.000 [16 per cell]
2 Bi 0.125 0.125 0.625 [8 per cell]
3 O 0.019 0.019 0.231 [32 per cell]

Computed properties:
Uncorrected energy: -7.32 eV/atom
Crystal system: cubic

=====

# Gd2Y3Er3

A geometry-optimized Gd2Y3Er3 structure (PBE-GGA, the Open Quantum Materials Database).

Cell: 7.2414 7.2414 5.6310 Å, 90.00 90.00 120.00°
Space group P-6m2 (No. 187)
Asymmetric unit:
1 Gd 0.0000 0.0000 0.0000 [1 per cell]
2 Gd 0.3333 0.6667 0.5000 [1 per cell]
3 Y 0.3343 0.1671 0.5000 [3 per cell]
4 Er 0.5003 0.0007 0.0000 [3 per cell]

Computed properties:
Crystal system: hexagonal
Energy of formation: 0.006 eV per atom

=====

# NaSmAl

A geometry-optimized NaSmAl structure (PBE-GGA, the Open Quantum Materials Database).

Cell: 7.194 7.194 7.194 Å, 90.00 90.00 90.00°
Space group F-43m (No. 216)
Asymmetric unit:
1 Na 0.000 0.000 0.000 [4 per cell]
2 Sm 0.250 0.250 0.750 [4 per cell]
3 Al 0.000 0.000 0.500 [4 per cell]

Computed properties:
Uncorrected energy: -2.71 eV/atom
Crystal system: cubic

=====

# Cu4Ag

A geometry-optimized Cu4Ag structure (PBE-GGA, the Open Quantum Materials Database).

Cell: 4.578 13.243 4.557 Å, 90.00 109.26 90.00°
Space group C2/m (No. 12)
Asymmetric unit:
1 Cu 0.000 0.000 0.000 [2 per cell]
2 Cu 0.000 0.099 0.500 [4 per cell]
3 Cu 0.000 0.199 0.000 [4 per cell]
4 Cu 0.000 0.293 0.500 [4 per cell]
5 Cu 0.000 0.500 0.500 [2 per cell]
6 Ag 0.000 0.396 0.000 [4 per cell]

Computed properties:
Crystal system: monoclinic
E above lowest polymorph: 3.25 kJ/mol of atoms
Energy of formation: 0.078 eV per atom

=====

# HfZnAu2

A geometry-optimized HfZnAu2 structure (PBE-GGA, the Open Quantum Materials Database).

Cell: 4.695 4.695 3.340 Å, 90.00 90.00 90.00°
Space group P4/mmm (No. 123)
Asymmetric unit:
1 Hf 0.000 0.000 0.000 [1 per cell]
2 Zn 0.500 0.500 0.000 [1 per cell]
3 Au 0.000 0.500 0.500 [2 per cell]

Computed properties:
Crystal system: tetragonal
Energy of formation: -0.286 eV per atom

=====

# TlIr2W

A geometry-optimized TlIr2W structure (PBE-GGA, the Open Quantum Materials Database).

Cell: 6.440 6.440 6.440 Å, 90.00 90.00 90.00°
Space group F-43m (No. 216)
Asymmetric unit:
1 Tl 0.000 0.000 0.000 [4 per cell]
2 Ir 0.000 0.000 0.500 [4 per cell]
3 Ir 0.250 0.250 0.750 [4 per cell]
4 W 0.250 0.250 0.250 [4 per cell]

Computed properties:
Uncorrected energy: -7.56 eV/atom
Crystal system: cubic

=====

# HoErNi2

A geometry-optimized HoErNi2 structure (PBE-GGA, the Open Quantum Materials Database).

Cell: 4.151 6.991 5.395 Å, 90.00 90.00 90.00°
Space group Pmn2_1 (No. 31)
Asymmetric unit:
1 Ho 0.000 0.071 0.000 [2 per cell]
2 Er 0.000 0.569 0.764 [2 per cell]
3 Ni 0.000 0.214 0.505 [2 per cell]
4 Ni 0.000 0.711 0.258 [2 per cell]

Computed properties:
Crystal system: orthorhombic
Energy of formation: -0.486 eV per atom

=====

# PrSiH

A geometry-optimized PrSiH structure (PBE-GGA, the Open Quantum Materials Database).

Cell: 4.203 3.971 6.464 Å, 90.00 108.95 90.00°
Space group P2_1/m (No. 11)
Asymmetric unit:
1 Pr 0.144 0.250 0.290 [2 per cell]
2 Si 0.445 0.250 0.890 [2 per cell]
3 H 0.256 0.750 0.511 [2 per cell]

Computed properties:
Uncorrected energy: -5.22 eV/atom
Crystal system: monoclinic

=====

# HoGePbSe3

A geometry-optimized HoGePbSe3 structure (PBE-GGA, the Open Quantum Materials Database).

Cell: 3.976 14.390 11.473 Å, 90.00 90.00 90.00°
Space group Cmcm (No. 63)
Asymmetric unit:
1 Ho 0.000 0.000 0.000 [4 per cell]
2 Ge 0.000 0.376 0.250 [4 per cell]
3 Pb 0.000 0.310 0.750 [4 per cell]
4 Se 0.000 0.014 0.250 [4 per cell]
5 Se 0.000 0.361 0.011 [8 per cell]

Computed properties:
Uncorrected energy: -4.70 eV/atom
Crystal system: orthorhombic

=====

# PrAgPbSeS2

A geometry-optimized PrAgPbSeS2 structure (PBE-GGA, the Open Quantum Materials Database).

Cell: 4.127 13.552 11.091 Å, 90.00 90.00 90.00°
Space group Cmcm (No. 63)
Asymmetric unit:
1 Pr 0.000 0.000 0.000 [4 per cell]
2 Ag 0.000 0.473 0.250 [4 per cell]
3 Pb 0.000 0.230 0.750 [4 per cell]
4 Se 0.000 0.100 0.250 [4 per cell]
5 S 0.000 0.362 0.068 [8 per cell]

Computed properties:
Uncorrected energy: -4.83 eV/atom
Crystal system: orthorhombic

=====

Please write out number 1 again, unchanged.
# DySi2IrOs

A geometry-optimized DySi2IrOs structure (PBE-GGA, the Open Quantum Materials Database).

Cell: 4.141 4.141 9.744 Å, 90.00 90.00 90.00°
Space group I-4m2 (No. 119)
Asymmetric unit:
1 Dy 0.000 0.000 0.000 [2 per cell]
2 Si 0.000 0.000 0.375 [4 per cell]
3 Ir 0.000 0.500 0.250 [2 per cell]
4 Os 0.000 0.500 0.750 [2 per cell]

Computed properties:
Uncorrected energy: -8.04 eV/atom
Crystal system: tetragonal